Record 1
Material: SrSi2
Method: DFT, PBE-GGA
State: optimized geometry

Unit cell a=6.0122 b=6.0122 c=6.0122 alpha=146.55 beta=146.55 gamma=48.02
Closest atoms and distances in Å follow each position.
Fractional positions:
1 Si 0.2894 0.2894 0.0000  4 Si 2.59
2 Si 0.7106 0.7106 0.0000  4 Si 2.59
3 Sr 0.0000 0.0000 0.0000  10 Si 3.18-3.37, 4 Sr 3.46

Computed properties:
Fermi-level density of states: 0.451 states/eV/atom
uncorrected energy: -4.298 eV/atom
uncorrected formation energy: -0.122 eV per atom
volume: 21.91 A^3/atom
space group: No. 139


Record 2
Material: Sr5Si6
Method: DFT, PBE-GGA
State: optimized geometry

Unit cell a=4.7947 b=4.0339 c=15.1307 alpha=97.66 beta=90.00 gamma=90.00
Closest atoms and distances in Å follow each position.
Fractional positions:
1 Si 0.5000 0.4596 0.9192  3 Si 2.42-2.43
2 Si 0.5000 0.0853 0.1706  2 Si 2.43
3 Si 0.0000 0.2743 0.5485  2 Si 2.49
4 Si 0.5000 0.5404 0.0808  3 Si 2.42-2.43
5 Si 0.5000 0.9147 0.8294  2 Si 2.43
6 Si 0.0000 0.7257 0.4515  2 Si 2.49
7 Sr 0.0000 0.3865 0.7730  7 Si 3.24-3.37
8 Sr 0.5000 0.1970 0.3940  7 Si 3.25-3.35
9 Sr 0.0000 0.0000 0.0000  12 Si 3.36-3.51
10 Sr 0.0000 0.6135 0.2270  7 Si 3.24-3.37
11 Sr 0.5000 0.8030 0.6060  7 Si 3.25-3.35

Computed properties:
Fermi-level density of states: 0.531 states/eV/atom
uncorrected energy: -4.162 eV/atom
uncorrected formation energy: -0.439 eV per atom
volume: 26.37 A^3/atom
space group: No. 65


Record 3
Material: SrSi3
Method: DFT, PBE-GGA
State: optimized geometry

Unit cell a=4.5713 b=4.5713 c=5.7412 alpha=74.38 beta=74.38 gamma=48.27
Closest atoms and distances in Å follow each position.
Fractional positions:
1 Si 0.2244 0.2244 0.3703  5 Si 2.50-2.62
2 Si 0.5000 0.5000 0.5000  6 Si 2.59-2.62
3 Si 0.7756 0.7756 0.6297  5 Si 2.50-2.62
4 Sr 0.0000 0.0000 0.0000  12 Si 3.22-3.55

Computed properties:
Fermi-level density of states: 0.354 states/eV/atom
uncorrected energy: -4.598 eV/atom
uncorrected formation energy: -0.111 eV per atom
volume: 21.39 A^3/atom
space group: No. 12


Record 4
Material: Sr5Si4
Method: DFT, PBE-GGA
State: optimized geometry

Unit cell a=4.8365 b=6.1867 c=10.1578 alpha=74.85 beta=76.23 gamma=66.99
Closest atoms and distances in Å follow each position.
Fractional positions:
1 Si 0.5456 0.7266 0.1823  1 Si 2.47
2 Si 0.4544 0.2734 0.8177  1 Si 2.47
3 Si 0.4027 0.5876 0.6070  2 Si 2.47-2.50
4 Si 0.5973 0.4124 0.3930  2 Si 2.47-2.50
5 Sr 0.0000 0.0000 0.0000  4 Si 3.23
6 Sr 0.7593 0.6602 0.8212  6 Si 3.28-3.65
7 Sr 0.2407 0.3398 0.1788  6 Si 3.28-3.65
8 Sr 0.1058 0.1867 0.6017  7 Si 3.28-3.40
9 Sr 0.8942 0.8133 0.3983  7 Si 3.28-3.40

Computed properties:
Fermi-level density of states: 0.348 states/eV/atom
uncorrected energy: -3.756 eV/atom
energy relative to the lowest polymorph listed for this composition: 0 meV per atom
uncorrected formation energy: -0.411 eV per atom
volume: 29.65 A^3/atom
space group: No. 12


Record 5
Material: Sr2Si
Method: DFT, PBE-GGA
State: optimized geometry

Unit cell a=15.7406 b=15.7406 c=15.7406 alpha=166.13 beta=166.13 gamma=19.67
Closest atoms and distances in Å follow each position.
Fractional positions:
1 Si 0.0000 0.0000 0.0000  8 Sr 3.25
2 Si 0.7500 0.2500 0.5000  8 Sr 3.25
3 Sr 0.1911 0.6911 0.5000  4 Si 3.25
4 Sr 0.4411 0.4411 0.0000  4 Si 3.25
5 Sr 0.5589 0.5589 0.0000  4 Si 3.25
6 Sr 0.3089 0.8089 0.5000  4 Si 3.25

Computed properties:
Fermi-level density of states: 1.018 states/eV/atom
uncorrected energy: -3.070 eV/atom
uncorrected formation energy: -0.141 eV per atom
volume: 37.37 A^3/atom
space group: No. 141


Record 6
Material: Sr2Si
Method: DFT, PBE-GGA
State: optimized geometry

Unit cell a=5.4145 b=5.4145 c=7.5349 alpha=90.00 beta=90.00 gamma=120.00
Closest atoms and distances in Å follow each position.
Fractional positions:
1 Sr 0.0000 0.0000 0.0000  6 Si 3.65, 8 Sr 3.65-3.77
2 Sr 0.0000 0.0000 0.5000  6 Si 3.65, 8 Sr 3.65-3.77
3 Sr 0.6667 0.3333 0.2500  3 Si 3.13
4 Sr 0.3333 0.6667 0.7500  3 Si 3.13
5 Si 0.3333 0.6667 0.2500  3 Sr 3.13
6 Si 0.6667 0.3333 0.7500  3 Sr 3.13

Computed properties:
Fermi-level density of states: 0.078 states/eV/atom
uncorrected energy: -3.221 eV/atom
uncorrected formation energy: -0.292 eV per atom
volume: 31.89 A^3/atom
space group: No. 194


Record 7
Material: SrSi3
Method: DFT, PBE-GGA
State: optimized geometry

Unit cell a=4.3126 b=4.3126 c=4.3132 alpha=90.00 beta=90.00 gamma=89.97
Closest atoms and distances in Å follow each position.
Fractional positions:
1 Si 0.5000 0.0000 0.5000  8 Si 3.05, 4 Sr 3.05
2 Si 0.5000 0.5000 0.0000  4 Sr 3.05, 8 Si 3.05
3 Si 0.0000 0.5000 0.5000  8 Si 3.05, 4 Sr 3.05
4 Sr 0.0000 0.0000 0.0000  12 Si 3.05

Computed properties:
Fermi-level density of states: 0.345 states/eV/atom
uncorrected energy: -4.274 eV/atom
uncorrected formation energy: 0.214 eV per atom
volume: 20.05 A^3/atom
space group: No. 221


Record 8
Material: SrSi5
Method: DFT, PBE-GGA
State: optimized geometry

Unit cell a=6.5024 b=6.5024 c=5.6409 alpha=73.62 beta=73.62 gamma=33.94
Closest atoms and distances in Å follow each position.
Fractional positions:
1 Si 0.6075 0.6075 0.3340  4 Si 2.44-2.50
2 Si 0.9806 0.9806 0.5258  5 Si 2.50-2.53
3 Si 0.9752 0.9752 0.9733  5 Si 2.42-2.66
4 Si 0.4099 0.4099 0.3167  5 Si 2.49-2.66
5 Si 0.5874 0.5874 0.7783  3 Si 2.42-2.44
6 Sr 0.2727 0.2727 0.9053  11 Si 3.22-3.61

Computed properties:
Fermi-level density of states: 0.425 states/eV/atom
uncorrected energy: -4.674 eV/atom
energy relative to the lowest polymorph listed for this composition: 51 meV per atom
uncorrected formation energy: 0.125 eV per atom
volume: 21.20 A^3/atom
space group: No. 8